# 1
# HSeI3, relaxed, DFT PBE
# Energy ... -1.448 eV per atom
data_HSeI3
_chemical_formula_sum 'H1 Se1 I3'
_space_group_name_H-M_alt 'P 1'
_space_group_IT_number 1
_cell_length_a 5.025
_cell_length_b 5.025
_cell_length_c 5.025
_cell_angle_alpha 90.00
_cell_angle_beta 90.00
_cell_angle_gamma 90.00
loop_
_space_group_symop_operation_xyz
'x,y,z'
loop_
_atom_site_label
_atom_site_fract_x
_atom_site_fract_y
_atom_site_fract_z
I1 0.500 0.000 0.000
I2 0.000 0.000 0.500
I3 0.000 0.500 0.000
Se1 0.500 0.500 0.500
H1 0.000 0.000 0.000

# 2
# BI2O2, relaxed, DFT PBE
# Energy relative to the elements, uncorrected ... 779 meV/atom
data_BI2O2
_chemical_formula_sum 'B1 I2 O2'
_space_group_name_H-M_alt 'P 1'
_space_group_IT_number 1
_cell_length_a 4.024
_cell_length_b 4.024
_cell_length_c 8.723
_cell_angle_alpha 90.00
_cell_angle_beta 90.00
_cell_angle_gamma 90.00
loop_
_space_group_symop_operation_xyz
'x,y,z'
loop_
_atom_site_label
_atom_site_fract_x
_atom_site_fract_y
_atom_site_fract_z
O1 0.500 0.000 0.000
O2 0.000 0.500 0.000
I1 0.000 0.000 0.500
I2 0.000 0.000 0.000
B1 0.500 0.500 0.500

# 3
# KSn3Pb3, relaxed, DFT PBE
# DFT formation energy ... 101.4 meV/atom
data_KSn3Pb3
_chemical_formula_sum 'K2 Sn6 Pb6'
_space_group_name_H-M_alt 'P 1'
_space_group_IT_number 1
_cell_length_a 8.439
_cell_length_b 8.439
_cell_length_c 8.439
_cell_angle_alpha 90.00
_cell_angle_beta 90.00
_cell_angle_gamma 90.00
loop_
_space_group_symop_operation_xyz
'x,y,z'
loop_
_atom_site_label
_atom_site_fract_x
_atom_site_fract_y
_atom_site_fract_z
Sn1 0.500 0.000 0.750
Sn2 0.750 0.500 0.000
Sn3 0.500 0.000 0.250
Sn4 0.000 0.250 0.500
Sn5 0.250 0.500 0.000
Sn6 0.000 0.750 0.500
K1 0.500 0.500 0.500
K2 0.000 0.000 0.000
Pb1 0.000 0.500 0.750
Pb2 0.250 0.000 0.500
Pb3 0.750 0.000 0.500
Pb4 0.500 0.750 0.000
Pb5 0.000 0.500 0.250
Pb6 0.500 0.250 0.000

# 4
# ZrAs2Pb, relaxed, DFT PBE
# DFT formation energy ... -243.8 meV/atom
data_ZrAs2Pb
_chemical_formula_sum 'Zr2 As4 Pb2'
_space_group_name_H-M_alt 'P 1'
_space_group_IT_number 1
_cell_length_a 6.466
_cell_length_b 6.466
_cell_length_c 7.770
_cell_angle_alpha 65.41
_cell_angle_beta 65.41
_cell_angle_gamma 90.00
loop_
_space_group_symop_operation_xyz
'x,y,z'
loop_
_atom_site_label
_atom_site_fract_x
_atom_site_fract_y
_atom_site_fract_z
Pb1 0.750 0.250 0.500
Pb2 0.000 0.000 0.000
Zr1 0.250 0.750 0.500
Zr2 0.500 0.500 0.000
As1 0.169 0.625 0.250
As2 0.375 0.419 0.750
As3 0.875 0.831 0.750
As4 0.581 0.125 0.250

# 5
# MnSiPH, relaxed, DFT PBE
# Energy ... -5.864 eV per atom
data_MnSiPH
_chemical_formula_sum 'Mn1 Si1 P1 H1'
_space_group_name_H-M_alt 'P 1'
_space_group_IT_number 1
_cell_length_a 2.724
_cell_length_b 3.937
_cell_length_c 4.733
_cell_angle_alpha 89.17
_cell_angle_beta 73.33
_cell_angle_gamma 69.75
loop_
_space_group_symop_operation_xyz
'x,y,z'
loop_
_atom_site_label
_atom_site_fract_x
_atom_site_fract_y
_atom_site_fract_z
Mn1 0.989 0.013 0.025
H1 0.589 0.053 0.786
P1 0.153 0.449 0.261
Si1 0.845 0.554 0.773

# 6
# KBCl2, relaxed, DFT PBE
# Energy relative to the elements, uncorrected ... -61 meV/atom
data_KBCl2
_chemical_formula_sum 'K1 B1 Cl2'
_space_group_name_H-M_alt 'P 1'
_space_group_IT_number 1
_cell_length_a 8.314
_cell_length_b 8.314
_cell_length_c 8.314
_cell_angle_alpha 33.50
_cell_angle_beta 33.50
_cell_angle_gamma 33.50
loop_
_space_group_symop_operation_xyz
'x,y,z'
loop_
_atom_site_label
_atom_site_fract_x
_atom_site_fract_y
_atom_site_fract_z
Cl1 0.098 0.098 0.098
Cl2 0.902 0.902 0.902
B1 0.000 0.000 0.000
K1 0.500 0.500 0.500